Entry from the Alexandria database: a relaxed structure of K4PaV3O12 (PBE+U).

a b c (Å): 6.9247 6.9247 6.9247
angles (deg): 109.47 109.47 109.47
Fractional positions:
O1 0.0000 0.2678 0.2678
O2 0.5000 0.7500 0.2500
O3 0.2500 0.5000 0.7500
O4 0.7322 0.7322 0.0000
O5 0.2500 0.7500 0.5000
O6 0.2678 0.2678 0.0000
O7 0.7500 0.5000 0.2500
O8 0.2678 0.0000 0.2678
O9 0.0000 0.7322 0.7322
O10 0.5000 0.2500 0.7500
O11 0.7322 0.0000 0.7322
O12 0.7500 0.2500 0.5000
K1 0.0000 0.0000 0.5000
K2 0.0000 0.5000 0.0000
K3 0.5000 0.5000 0.5000
K4 0.5000 0.0000 0.0000
V1 0.5000 0.0000 0.5000
V2 0.5000 0.5000 0.0000
V3 0.0000 0.5000 0.5000
Pa1 0.0000 0.0000 0.0000

Results
VASP energy: -137.146 eV for the cell shown
spin magnetization: 0.00 μB/f.u.